# Pr6DyIn6 PBE optimized geometry
data_Pr6DyIn6
_chemical_formula_sum 'Pr6 Dy1 In6'
_cell_length_a 6.425
_cell_length_b 6.425
_cell_length_c 11.192
_cell_angle_alpha 90.00
_cell_angle_beta 90.00
_cell_angle_gamma 120.00
_space_group_name_H-M_alt 'P 1'
_space_group_IT_number 1
loop_
_space_group_symop_operation_xyz
'x,y,z'
loop_
_atom_site_label
_atom_site_fract_x
_atom_site_fract_y
_atom_site_fract_z
Pr1 0.000 0.000 0.669
Pr2 0.000 0.000 0.331
Pr3 0.333 0.667 0.000
Pr4 0.667 0.333 0.000
Pr5 0.333 0.667 0.500
Pr6 0.667 0.333 0.500
Dy1 0.000 0.000 0.000
In1 0.000 0.500 0.754
In2 0.500 0.000 0.754
In3 0.500 0.500 0.754
In4 0.500 0.000 0.246
In5 0.000 0.500 0.246
In6 0.500 0.500 0.246
# Formation energy   -0.325 eV per atom
# E_tot   -53.9 eV/cell
# Symmetry   P6/mmm